DFT (PBE with a Hubbard U) results for a geometry-optimized Rb2Ba2MoO6 structure.

Computed properties:
Total magnetization, μB per cell: 0.00
Calculated total energy, eV per atom: -5.8797

Cell lengths 6.5401, 10.9357, 6.8397 Å; angles 90.00, 104.33, 90.00 degrees
Space group C2/m (No. 12)
One atom of each set of equivalent atoms:
Rb 0.0000 0.1556 0.0000 x4
Ba 0.0000 0.3379 0.5000 x4
Mo 0.0000 0.0000 0.5000 x2
O 0.1717 0.1302 0.6647 x8
O 0.1980 0.0000 0.3219 x4